# 1
{"formula": "MnAl2In2", "functional": "GGA-PBE", "state": "relaxed", "e_above_lowest_polymorph_kj_per_mol_atoms": 15.3, "final_energy_ev_per_atom": -4.02, "spacegroup": "P4/mbm", "dos_at_fermi_per_ev_fu": 2.76, "ef_mev_per_atom": 401, "lattice_angstrom": [[-5.801, 0.185, 4.383], [-3.924, -3.470, -5.047], [1.090, -3.548, 1.592]], "species": ["Mn", "Mn", "Al", "Al", "Al", "Al", "In", "In", "In", "In"], "fractional_positions": [[0.000, 0.000, 0.000], [0.500, 0.500, 0.000], [0.146, 0.646, 0.500], [0.646, 0.854, 0.500], [0.854, 0.354, 0.500], [0.354, 0.146, 0.500], [0.345, 0.845, 0.000], [0.845, 0.655, 0.000], [0.655, 0.155, 0.000], [0.155, 0.345, 0.000]]}

# 2
{"formula": "Mn2AlIn", "functional": "GGA-PBE", "state": "relaxed", "e_above_lowest_polymorph_kj_per_mol_atoms": 1.9, "final_energy_ev_per_atom": -6.18, "spacegroup": "P2/m", "dos_at_fermi_per_ev_fu": 2.41, "ef_mev_per_atom": 27, "lattice_angstrom": [[3.725, 0.000, 0.000], [0.000, 2.849, -0.012], [0.000, 2.862, 5.731]], "species": ["Mn", "Mn", "Al", "In"], "fractional_positions": [[0.000, 0.977, 0.024], [0.000, 0.523, 0.476], [0.500, 0.250, 0.250], [0.500, 0.750, 0.750]]}